(1)
The following is a PBE-GGA calculation of a geometry-optimized K2SnRhAu structure, from the Alexandria database.

Lattice parameters (Å, degrees): 6.0315 5.1364 6.0315 90.00 90.00 90.00
Closest atoms and distances in Å follow each position.
Element x y z (fractional)
Rh (0.5000, 0.5000, 0.5000)  8 K 3.96, 4 Sn 4.26
K (0.0000, 0.0000, 0.5000)  2 Au 3.02
K (0.5000, 0.0000, 0.0000)  2 Au 3.02
Au (0.0000, 0.0000, 0.0000)  2 Sn 2.57
Sn (0.0000, 0.5000, 0.0000)  2 Au 2.57

Electronic total energy: -13.76 eV per cell
DFT formation energy: 0.613 eV/atom
DOS at the Fermi energy: 3.8 states/eV/cell

=====

(2)
The following is a PBE-GGA calculation of a geometry-optimized KTl2RhAu structure, from the Alexandria database.

Lattice parameters (Å, degrees): 5.2336 5.2336 5.4478 90.00 90.00 90.00
Closest atoms and distances in Å follow each position.
Element x y z (fractional)
Rh (0.0000, 0.0000, 0.0000)  4 Tl 2.62, 2 Au 2.72
Tl (0.0000, 0.5000, 0.0000)  2 Rh 2.62
Tl (0.5000, 0.0000, 0.0000)  2 Rh 2.62
Au (0.0000, 0.0000, 0.5000)  2 Rh 2.72
K (0.5000, 0.5000, 0.5000)  4 Au 3.70, 8 Tl 3.78

Electronic total energy: -16.77 eV per cell
DFT formation energy: -0.062 eV/atom
DOS at the Fermi energy: 2.2 states/eV/cell

=====

(3)
The following is a PBE-GGA calculation of a geometry-optimized KRu2Au structure, from the Alexandria database.

Lattice parameters (Å, degrees): 2.7917 3.6128 8.1332 90.00 90.00 90.00
Closest atoms and distances in Å follow each position.
Element x y z (fractional)
Au (0.0000, 0.0000, 0.4427)  2 Au 2.79, 5 Ru 2.91-2.92
K (0.5000, 0.5000, 0.7533)  2 K 2.79
Ru (0.0000, 0.0000, 0.0839)  6 Ru 2.54-2.79
Ru (0.5000, 0.5000, 0.2201)  6 Ru 2.54-2.79

Electronic total energy: -21.17 eV per cell
DFT formation energy: 0.440 eV/atom
DOS at the Fermi energy: 2.8 states/eV/cell

=====

(4)
The following is a PBE-GGA calculation of a geometry-optimized KRu2Au structure, from the Alexandria database.

Lattice parameters (Å, degrees): 4.7801 3.9775 3.9775 90.00 90.00 90.00
Closest atoms and distances in Å follow each position.
Element x y z (fractional)
Au (0.5000, 0.5000, 0.0000)  4 K 2.81, 8 Ru 3.11
K (0.5000, 0.0000, 0.5000)  4 Au 2.81, 8 Ru 3.11
Ru (0.0000, 0.0000, 0.0000)  4 Ru 2.81, 4 K 3.11, 4 Au 3.11
Ru (0.0000, 0.5000, 0.5000)  4 Ru 2.81, 4 Au 3.11, 4 K 3.11

Electronic total energy: -18.17 eV per cell
DFT formation energy: 1.189 eV/atom
DOS at the Fermi energy: 5.2 states/eV/cell

=====

(5)
The following is a PBE-GGA calculation of a geometry-optimized KRuAu3 structure, from the Alexandria database.

Lattice parameters (Å, degrees): 5.3724 5.3724 5.3724 90.00 90.00 90.00
Closest atoms and distances in Å follow each position.
Element x y z (fractional)
Ru (0.5000, 0.5000, 0.5000)  12 Au 3.80
K (0.0000, 0.0000, 0.0000)  6 Au 2.69
Au (0.0000, 0.5000, 0.0000)  2 K 2.69
Au (0.0000, 0.0000, 0.5000)  2 K 2.69
Au (0.5000, 0.0000, 0.0000)  2 K 2.69

Electronic total energy: -10.54 eV per cell
DFT formation energy: 1.934 eV/atom
DOS at the Fermi energy: 12.1 states/eV/cell

=====

(6)
The following is a PBE-GGA calculation of a geometry-optimized KRu2Au structure, from the Alexandria database.

Lattice parameters (Å, degrees): 4.5080 4.5080 10.4045 77.49 77.49 90.00
Closest atoms and distances in Å follow each position.
Element x y z (fractional)
Ru (0.8183, 0.1250, 0.2500)  2 Ru 2.31
Ru (0.9317, 0.6250, 0.2500)  2 Ru 2.31
Ru (0.3750, 0.1817, 0.7500)  2 Ru 2.31
Ru (0.8750, 0.0683, 0.7500)  2 Ru 2.31
K (0.5000, 0.5000, 0.0000)  4 Au 3.19, 4 Ru 3.38
K (0.2500, 0.7500, 0.5000)  4 Au 3.19, 4 Ru 3.38
Au (0.0000, 0.0000, 0.0000)  4 Ru 2.73
Au (0.7500, 0.2500, 0.5000)  4 Ru 2.73

Electronic total energy: -37.75 eV per cell
DFT formation energy: 1.013 eV/atom
DOS at the Fermi energy: 6.5 states/eV/cell

=====

(7)
The following is a PBE-GGA calculation of a geometry-optimized KRu2Au structure, from the Alexandria database.

Lattice parameters (Å, degrees): 2.7384 5.0585 5.3312 90.00 90.00 90.00
Closest atoms and distances in Å follow each position.
Element x y z (fractional)
Au (0.5000, 0.0000, 0.5000)  2 Au 2.74, 4 K 2.88, 4 Ru 3.00
K (0.0000, 0.5000, 0.5000)  2 K 2.74, 4 Au 2.88, 4 Ru 3.00
Ru (0.0000, 0.0000, 0.0000)  6 Ru 2.74-2.88, 4 Au 3.00
Ru (0.5000, 0.5000, 0.0000)  6 Ru 2.74-2.88, 4 K 3.00

Electronic total energy: -18.97 eV per cell
DFT formation energy: 0.988 eV/atom
DOS at the Fermi energy: 5.1 states/eV/cell

=====

(8)
The following is a PBE-GGA calculation of a geometry-optimized KRu2Au structure, from the Alexandria database.

Lattice parameters (Å, degrees): 10.3037 10.3037 10.3037 16.03 16.03 16.03
Closest atoms and distances in Å follow each position.
Element x y z (fractional)
Au (0.5096, 0.5096, 0.5096)  6 Au 2.87, 3 Ru 2.93
K (0.7490, 0.7490, 0.7490)  6 K 2.87
Ru (0.9859, 0.9859, 0.9859)  3 Ru 2.56
Ru (0.2555, 0.2555, 0.2555)  3 Ru 2.56

Electronic total energy: -20.54 eV per cell
DFT formation energy: 0.598 eV/atom
DOS at the Fermi energy: 3.8 states/eV/cell

=====

(9)
The following is a PBE-GGA calculation of a geometry-optimized KRu2Au structure, from the Alexandria database.

Lattice parameters (Å, degrees): 2.9289 2.9289 8.9999 90.00 90.00 90.00
Closest atoms and distances in Å follow each position.
Element x y z (fractional)
Au (0.0000, 0.0000, 0.4552)  4 Ru 2.93, 4 Au 2.93
K (0.5000, 0.5000, 0.7552)  4 K 2.93
Ru (0.0000, 0.0000, 0.0640)  4 Ru 2.53
Ru (0.5000, 0.5000, 0.2256)  4 Ru 2.53

Electronic total energy: -21.05 eV per cell
DFT formation energy: 0.468 eV/atom
DOS at the Fermi energy: 5.2 states/eV/cell

=====

(10)
The following is a PBE-GGA calculation of a geometry-optimized KRu3Au structure, from the Alexandria database.

Lattice parameters (Å, degrees): 4.6146 4.6146 4.6146 90.00 90.00 90.00
Closest atoms and distances in Å follow each position.
Element x y z (fractional)
Ru (0.0000, 0.5000, 0.0000)  2 K 2.31
Ru (0.0000, 0.0000, 0.5000)  2 K 2.31
Ru (0.5000, 0.0000, 0.0000)  2 K 2.31
K (0.0000, 0.0000, 0.0000)  6 Ru 2.31
Au (0.5000, 0.5000, 0.5000)  12 Ru 3.26

Electronic total energy: -18.09 eV per cell
DFT formation energy: 2.823 eV/atom
DOS at the Fermi energy: 5.7 states/eV/cell

=====

(11)
The following is a PBE-GGA calculation of a geometry-optimized K2RuAu structure, from the Alexandria database.

Lattice parameters (Å, degrees): 5.9858 5.9858 5.9858 134.52 122.82 75.92
Closest atoms and distances in Å follow each position.
Element x y z (fractional)
Au (0.3194, 0.8194, 0.5000)  2 Ru 2.53
K (0.0270, 0.0270, 0.0000)  4 K 3.43-3.66, 4 Au 3.47-3.60, 5 Ru 3.77-3.80
K (0.7269, 0.2269, 0.5000)  4 Ru 3.43-3.66, 4 K 3.43-3.66, 4 Au 3.78
Ru (0.4267, 0.4267, 0.0000)  2 Au 2.53

Electronic total energy: -12.18 eV per cell
DFT formation energy: 0.641 eV/atom
DOS at the Fermi energy: 2.9 states/eV/cell

=====

(12)
The following is a PBE-GGA calculation of a geometry-optimized KRu2Au structure, from the Alexandria database.

Lattice parameters (Å, degrees): 5.3274 5.3274 2.6217 90.00 90.00 90.00
Closest atoms and distances in Å follow each position.
Element x y z (fractional)
Au (0.5000, 0.0000, 0.5000)  2 Au 2.62
K (0.0000, 0.5000, 0.5000)  2 K 2.62
Ru (0.0000, 0.0000, 0.0000)  2 Ru 2.62
Ru (0.5000, 0.5000, 0.0000)  2 Ru 2.62

Electronic total energy: -17.82 eV per cell
DFT formation energy: 1.276 eV/atom
DOS at the Fermi energy: 4.6 states/eV/cell

=====

(13)
The following is a PBE-GGA calculation of a geometry-optimized KRu2Au structure, from the Alexandria database.

Lattice parameters (Å, degrees): 5.5091 5.5091 5.5091 137.18 137.18 62.17
Closest atoms and distances in Å follow each position.
Element x y z (fractional)
Au (0.2500, 0.7500, 0.5000)  4 K 2.84, 8 Ru 3.10
K (0.7500, 0.2500, 0.5000)  4 Au 2.84, 8 Ru 3.10
Ru (0.0000, 0.0000, 0.0000)  4 Ru 2.84, 4 Au 3.10, 4 K 3.10
Ru (0.5000, 0.5000, 0.0000)  4 Ru 2.84, 4 K 3.10, 4 Au 3.10

Electronic total energy: -18.06 eV per cell
DFT formation energy: 1.216 eV/atom
DOS at the Fermi energy: 3.5 states/eV/cell

=====

(14)
The following is a PBE-GGA calculation of a geometry-optimized KRu2Au structure, from the Alexandria database.

Lattice parameters (Å, degrees): 5.6551 5.6551 2.5890 90.00 90.00 119.08
Closest atoms and distances in Å follow each position.
Element x y z (fractional)
Au (0.5000, 0.0000, 0.5000)  2 Au 2.59, 2 K 2.87
K (0.0000, 0.5000, 0.5000)  2 K 2.59, 2 Au 2.87
Ru (0.0000, 0.0000, 0.0000)  4 Ru 2.59-2.87
Ru (0.5000, 0.5000, 0.0000)  4 Ru 2.59-2.87

Electronic total energy: -18.80 eV per cell
DFT formation energy: 1.032 eV/atom
DOS at the Fermi energy: 5.4 states/eV/cell

=====

(15)
The following is a PBE-GGA calculation of a geometry-optimized KRu2Au structure, from the Alexandria database.

Lattice parameters (Å, degrees): 2.6598 4.6047 6.9863 90.00 90.00 90.00
Closest atoms and distances in Å follow each position.
Element x y z (fractional)
Au (0.5000, 0.5000, 0.2500)  2 Au 2.66, 8 Ru 2.90
K (0.5000, 0.5000, 0.7500)  2 K 2.66
Ru (0.0000, 0.0000, 0.0839)  1 Ru 2.32
Ru (0.0000, 0.0000, 0.4161)  1 Ru 2.32

Electronic total energy: -19.59 eV per cell
DFT formation energy: 0.834 eV/atom
DOS at the Fermi energy: 4.2 states/eV/cell